A plane-wave DFT calculation with PBE-GGA was carried out for crystalline KPrGeO3 at its relaxed geometry.

abc: 6.7125 3.5150 10.5270
angles: 90.00 101.14 90.00
Fractional positions:
1 K 0.2383 0.2500 0.2760
2 K 0.7617 0.7500 0.7240
3 Pr 0.3355 0.7500 0.8697
4 Pr 0.6645 0.2500 0.1303
5 Ge 0.1915 0.2500 0.5974
6 Ge 0.8085 0.7500 0.4026
7 O 0.1061 0.2500 0.7604
8 O 0.3533 0.7500 0.6407
9 O 0.4247 0.7500 0.1001
10 O 0.5753 0.2500 0.8999
11 O 0.6467 0.2500 0.3593
12 O 0.8939 0.7500 0.2396

energy relative to the elements, uncorrected = -2.082 eV/atom
spin magnetization = 0.0 μB/f.u.
DFT total energy = -37.86 eV per formula unit
density of states at the Fermi level = 0.0 states/eV/f.u.